1.
NdAl | PBE | optimized geometry

Cell lengths 6.2232, 6.2232, 6.2232 Å; angles 90.00, 90.00, 90.00 degrees
Closest atoms and distances in Å follow each position.
Space group Fm-3m (No. 225)
Unique sites:
Nd1 0.0000 0.0000 0.0000 (multiplicity 4)  6 Al 3.11
Al1 0.0000 0.0000 0.5000 (multiplicity 4)  6 Nd 3.11

The value obtained for the volume is 30.13 Å³/atom. The total energy is -4.179 eV/atom.

2.
NdAl2Ni | PBE | optimized geometry

Cell lengths 4.0684, 10.8496, 6.9193 Å; angles 90.00, 90.00, 90.00 degrees
Closest atoms and distances in Å follow each position.
Space group Cmcm (No. 63)
Unique sites:
Nd1 0.0000 0.0550 0.2500 (multiplicity 4)  3 Ni 2.97-3.19, 6 Al 3.19-3.28
Al1 0.0000 0.3316 0.0568 (multiplicity 8)  3 Ni 2.45-2.49, 1 Al 2.67
Ni1 0.0000 0.2184 0.7500 (multiplicity 4)  6 Al 2.45-2.49

The value obtained for the volume is 19.09 Å³/atom. The total energy is -5.047 eV/atom.

3.
NdAl3Ni | PBE | optimized geometry

Cell lengths 8.2437, 4.1115, 10.8330 Å; angles 90.00, 90.00, 90.00 degrees
Closest atoms and distances in Å follow each position.
Space group Pnma (No. 62)
Unique sites:
Nd1 0.1831 0.2500 0.0099 (multiplicity 4)  10 Al 3.08-3.42, 2 Ni 3.20
Al1 0.0551 0.2500 0.5820 (multiplicity 4)  3 Ni 2.48-2.52, 1 Al 2.64
Al2 0.1207 0.7500 0.7831 (multiplicity 4)  2 Ni 2.36-2.43
Al3 0.1399 0.7500 0.2243 (multiplicity 4)  2 Ni 2.52, 1 Al 2.64
Ni1 0.1006 0.2500 0.3553 (multiplicity 4)  7 Al 2.36-2.52

The value obtained for the volume is 18.36 Å³/atom. The total energy is -4.892 eV/atom. The energy above the lowest structure with this stoichiometry is 0 meV per atom.